# Ta2InCo

Crystalline Ta2InCo at its relaxed geometry (PBE, Alexandria via LeMat-Bulk).

Cell and atoms, written as POSCAR:
```
Ta2InCo
1.0
-2.2899 1.6705 -4.6620
1.6602 -2.4436 -4.5870
-2.3816 -0.5059 4.8827
Co In Ta
1 1 2
Cartesian
-0.3224 -0.3958 -4.7355 Co
-0.5338 -1.6874 -2.3957 In
-0.6222 -0.7639 -9.1388 Ta
-2.4774 0.4084 -1.9698 Ta
```

Results
ΔE_f ... 0.14 eV per atom
Magnetization ... 0.9 μB/f.u.
Uncorrected energy ... -8.245 eV per atom
D(E_F) ... 3.548 states/eV/f.u.



# Y2BeCr

Crystalline Y2BeCr at its relaxed geometry (PBE, Alexandria via LeMat-Bulk).

Cell and atoms, written as POSCAR:
```
Y2BeCr
1.0
-0.1392 -5.9048 0.6993
2.9057 -5.1521 -0.6229
2.0930 -1.4732 3.9815
Y Cr Be
2 1 1
Cartesian
2.0994 -1.5696 3.9414 Y
1.1959 -2.8599 1.1260 Y
3.6813 -9.9137 2.8339 Cr
2.4056 -5.9250 2.1669 Be
```

Results
ΔE_f ... 0.27 eV per atom
Magnetization ... 2.2 μB/f.u.
Uncorrected energy ... -6.300 eV per atom
D(E_F) ... 3.260 states/eV/f.u.